VASP calculation (GGA-PBE) on a relaxed structure of Cs2LiIn3F12.

Unit cell a=7.682 b=7.682 c=7.682 alpha=62.06 beta=62.06 gamma=62.06
Fractional positions:
Cs 0.138 0.138 0.138
Cs 0.862 0.862 0.862
Li 0.500 0.500 0.500
In 0.000 0.500 0.500
In 0.500 0.000 0.500
In 0.500 0.500 0.000
F 0.174 0.174 0.566
F 0.174 0.566 0.174
F 0.182 0.568 0.568
F 0.432 0.432 0.818
F 0.432 0.818 0.432
F 0.434 0.826 0.826
F 0.566 0.174 0.174
F 0.568 0.182 0.568
F 0.568 0.568 0.182
F 0.818 0.432 0.432
F 0.826 0.434 0.826
F 0.826 0.826 0.434

## Properties
total moment	0.229	μB/f.u.
space-group type	R-3m (166)
formation energy without anion corrections	-2.6681	eV per atom